1.
Material: InReF3
Method: DFT, SCAN
State: single point on PBEsol structure

M_tot: 0.001 μB per formula unit

Lattice parameters (Å, degrees): 4.196 4.196 4.196 90.00 90.00 90.00
Space group Pm-3m (No. 221)
Asymmetric unit:
In 0.000 0.000 0.000 [1 per cell]
Re 0.500 0.500 0.500 [1 per cell]
F 0.000 0.500 0.500 [3 per cell]

***

2.
Material: In3ReF
Method: DFT, SCAN
State: single point on PBEsol structure

M_tot: 0.001 μB per formula unit

Lattice parameters (Å, degrees): 5.134 5.134 5.134 90.00 90.00 90.00
Space group Pm-3m (No. 221)
Asymmetric unit:
In 0.000 0.000 0.500 [3 per cell]
Re 0.000 0.000 0.000 [1 per cell]
F 0.500 0.500 0.500 [1 per cell]

***

3.
Material: In2ReF
Method: DFT, SCAN
State: single point on PBEsol structure

M_tot: 2.061 μB per formula unit

Lattice parameters (Å, degrees): 6.564 6.564 6.564 90.00 90.00 90.00
Space group Fm-3m (No. 225)
Asymmetric unit:
In 0.250 0.250 0.250 [8 per cell]
Re 0.000 0.000 0.000 [4 per cell]
F 0.000 0.000 0.500 [4 per cell]

***

4.
Material: TiIn2ReF
Method: DFT, SCAN
State: single point on PBEsol structure

M_tot: 1.821 μB per formula unit

Lattice parameters (Å, degrees): 5.264 5.264 3.584 90.00 90.00 90.00
Space group P4/mmm (No. 123)
Asymmetric unit:
Ti 0.000 0.000 0.000 [1 per cell]
In 0.000 0.500 0.000 [2 per cell]
Re 0.500 0.500 0.500 [1 per cell]
F 0.000 0.000 0.500 [1 per cell]

***

Number 1: E -23.922 eV/atom. Number 2: E -34.822 eV/atom. Number 3: E -35.257 eV/atom. Number 4: E -31.178 eV/atom.